# 1
Below is a relaxed structure of PaCdAsO, with properties calculated at the PBE level.

Unit cell a=3.9574 b=6.3051 c=7.1948 alpha=90.00 beta=90.00 gamma=90.00
Space group Pmc2_1 (No. 26)
One atom of each set of equivalent atoms:
Pa: 0.0000 0.0450 0.0000
Cd: 0.5000 0.4143 0.3858
As: 0.5000 0.2165 0.7179
O: 0.0000 0.2159 0.2773

## Properties
ρ: 8.036 Mg/m³
energy above the lowest structure with this stoichiometry: 226 meV per atom

# 2
Below is a relaxed structure of PaCdAsO, with properties calculated at the PBE level.

Unit cell a=4.0223 b=4.0223 c=9.6464 alpha=90.00 beta=90.00 gamma=90.00
Space group P4/nmm (No. 129, origin choice 2)
One atom of each set of equivalent atoms:
Pa: 0.2500 0.2500 0.1367
Cd: 0.2500 0.7500 0.5000
As: 0.2500 0.2500 0.7286
O: 0.2500 0.7500 0.0000

## Properties
ρ: 9.243 Mg/m³
energy above the lowest structure with this stoichiometry: 0 meV per atom

# 3
Below is a relaxed structure of CdAsPbO, with properties calculated at the PBE level.

Unit cell a=5.5319 b=3.7590 c=8.0953 alpha=90.00 beta=90.00 gamma=90.00
Space group Pmc2_1 (No. 26)
One atom of each set of equivalent atoms:
Cd: 0.0000 0.0088 0.0000
As: 0.0000 0.4807 0.2567
Pb: 0.5000 0.4553 0.6909
O: 0.5000 0.0357 0.0255

## Properties
ρ: 8.099 Mg/m³
energy above the lowest structure with this stoichiometry: 63 meV per atom

# 4
Below is a relaxed structure of CdAsPbO, with properties calculated at the PBE level.

Unit cell a=4.1254 b=4.1254 c=10.1272 alpha=90.00 beta=90.00 gamma=90.00
Space group P4/nmm (No. 129, origin choice 2)
One atom of each set of equivalent atoms:
Cd: 0.2500 0.7500 0.0000
As: 0.2500 0.2500 0.1817
Pb: 0.2500 0.2500 0.6153
O: 0.2500 0.7500 0.5000

## Properties
ρ: 7.910 Mg/m³
energy above the lowest structure with this stoichiometry: 0 meV per atom